# IrPdCO (GGA-PBE, optimized geometry)
# calculated volume: 296 Å³/cell
# energy: -0.2500 hartree per atom
data_IrPdCO
_chemical_formula_sum 'Ir6 Pd6 C6 O6'
_cell_length_a 3.3012
_cell_length_b 3.3012
_cell_length_c 31.4103
_cell_angle_alpha 90.00
_cell_angle_beta 90.00
_cell_angle_gamma 120.00
_symmetry_space_group_name_H-M 'R -3 m'
_symmetry_Int_Tables_number 166
_symmetry_space_group_name_Hall '-R 3 2"'
loop_
_atom_site_label
_atom_site_type_symbol
_atom_site_fract_x
_atom_site_fract_y
_atom_site_fract_z
Ir1 Ir 0.0000 0.0000 0.2358
Pd1 Pd 0.0000 0.0000 0.0000
Pd2 Pd 0.0000 0.0000 0.5000
C1 C 0.0000 0.0000 0.1114
O1 O 0.0000 0.0000 0.3015

---

# MgCuPb (GGA-PBE, optimized geometry)
# calculated volume: 124 Å³/cell
# energy: -0.1067 hartree per atom
data_MgCuPb
_chemical_formula_sum 'Mg2 Cu2 Pb2'
_cell_length_a 4.7055
_cell_length_b 4.7055
_cell_length_c 6.4739
_cell_angle_alpha 90.00
_cell_angle_beta 90.00
_cell_angle_gamma 120.00
_symmetry_space_group_name_H-M 'P 63/m m c'
_symmetry_Int_Tables_number 194
_symmetry_space_group_name_Hall '-P 6c 2c'
loop_
_atom_site_label
_atom_site_type_symbol
_atom_site_fract_x
_atom_site_fract_y
_atom_site_fract_z
Mg1 Mg 0.0000 0.0000 0.0000
Cu1 Cu 0.3333 0.6667 0.2500
Pb1 Pb 0.3333 0.6667 0.7500

---

# TmLuI2O2 (GGA-PBE, optimized geometry)
# calculated volume: 594 Å³/cell
# energy: -0.2352 hartree per atom
data_TmLuI2O2
_chemical_formula_sum 'Tm4 Lu4 I8 O8'
_cell_length_a 19.778
_cell_length_b 3.983
_cell_length_c 7.564
_cell_angle_alpha 90.00
_cell_angle_beta 93.97
_cell_angle_gamma 90.00
_symmetry_space_group_name_H-M 'C 1 2/m 1'
_symmetry_Int_Tables_number 12
_symmetry_space_group_name_Hall '-C 2y'
loop_
_atom_site_label
_atom_site_type_symbol
_atom_site_fract_x
_atom_site_fract_y
_atom_site_fract_z
Tm1 Tm 0.197 0.000 0.114
Lu1 Lu 0.197 0.000 0.616
I1 I 0.078 0.000 0.344
I2 I 0.101 0.500 0.850
O1 O 0.245 0.500 0.129
O2 O 0.245 0.500 0.620

---

# LaDySi (GGA-PBE, optimized geometry)
# calculated volume: 350 Å³/cell
# offset from the most stable computed form: 0 meV/atom
data_LaDySi
_chemical_formula_sum 'La4 Dy4 Si4'
_cell_length_a 7.049
_cell_length_b 7.049
_cell_length_c 7.049
_cell_angle_alpha 90.00
_cell_angle_beta 90.00
_cell_angle_gamma 90.00
_symmetry_space_group_name_H-M 'F -4 3 m'
_symmetry_Int_Tables_number 216
_symmetry_space_group_name_Hall 'F -4 2 3'
loop_
_atom_site_label
_atom_site_type_symbol
_atom_site_fract_x
_atom_site_fract_y
_atom_site_fract_z
La1 La 0.000 0.000 0.000
Dy1 Dy 0.000 0.000 0.500
Si1 Si 0.250 0.250 0.750